DFT (PBE-GGA) results for a relaxed structure of KAl2In.

a = 6.139 Å, b = 6.139 Å, c = 6.139 Å
α = 143.24°, β = 128.12°, γ = 65.26°
Atoms (fractional coordinates):
K (0.000, 0.000, 0.000)
Al (0.275, 0.775, 0.500)
Al (0.725, 0.225, 0.500)
In (0.500, 0.500, 0.000)

Calculated values
total energy = -2.46 eV/atom
energy relative to the elements = 0.37 eV/atom
total magnetization = 0.00 μB per cell

DFT (PBE-GGA) results for a relaxed structure of KAl2In.

a = 10.380 Å, b = 10.380 Å, c = 10.380 Å
α = 150.20°, β = 150.20°, γ = 42.64°
Atoms (fractional coordinates):
K (0.375, 0.625, 0.750)
K (0.625, 0.375, 0.250)
Al (0.000, 0.000, 0.000)
Al (0.000, 0.000, 0.500)
Al (0.000, 0.500, 0.000)
Al (0.500, 0.000, 0.500)
In (0.125, 0.875, 0.250)
In (0.875, 0.125, 0.750)

Calculated values
total energy = -2.54 eV/atom
energy relative to the elements = 0.29 eV/atom
total magnetization = 0.00 μB per cell

DFT (PBE-GGA) results for a relaxed structure of KAl2In.

a = 6.031 Å, b = 6.031 Å, c = 6.031 Å
α = 141.44°, β = 124.87°, γ = 69.29°
Atoms (fractional coordinates):
K (0.000, 0.000, 0.000)
Al (0.285, 0.785, 0.500)
Al (0.471, 0.471, 0.000)
In (0.709, 0.209, 0.500)

Calculated values
total energy = -2.51 eV/atom
energy relative to the elements = 0.32 eV/atom
total magnetization = 0.00 μB per cell